The following is a DFT calculation (GGA-PBE) of a geometry-optimized HfGaBr3 structure.

```
data_HfGaBr3
_cell_length_a 5.301
_cell_length_b 5.301
_cell_length_c 5.301
_cell_angle_alpha 90.00
_cell_angle_beta 90.00
_cell_angle_gamma 90.00
_symmetry_space_group_name_H-M 'P 1'
_symmetry_Int_Tables_number 1
loop_
_symmetry_equiv_pos_as_xyz
'x,y,z'
loop_
_atom_site_label
_atom_site_type_symbol
_atom_site_fract_x
_atom_site_fract_y
_atom_site_fract_z
Hf1 Hf 0.000 0.000 0.000
Ga1 Ga 0.500 0.500 0.500
Br1 Br 0.000 0.500 0.500
Br2 Br 0.500 0.000 0.500
Br3 Br 0.500 0.500 0.000
```

Properties
- Distance to the lowest polymorph of the same formula: 0.875 eV/atom
- Space-group type: Pm-3m, No. 221
- Energy: -16.05 eV/f.u.

The following is a DFT calculation (GGA-PBE) of a geometry-optimized SrTaBr2 structure.

```
data_SrTaBr2
_cell_length_a 3.447
_cell_length_b 4.523
_cell_length_c 6.421
_cell_angle_alpha 90.00
_cell_angle_beta 90.00
_cell_angle_gamma 90.00
_symmetry_space_group_name_H-M 'P 1'
_symmetry_Int_Tables_number 1
loop_
_symmetry_equiv_pos_as_xyz
'x,y,z'
loop_
_atom_site_label
_atom_site_type_symbol
_atom_site_fract_x
_atom_site_fract_y
_atom_site_fract_z
Sr1 Sr 0.000 0.000 0.000
Ta1 Ta 0.500 0.000 0.500
Br1 Br 0.500 0.500 0.264
Br2 Br 0.500 0.500 0.736
```

Properties
- Distance to the lowest polymorph of the same formula: 0.146 eV/atom
- Space-group type: Pmmm, No. 47
- Energy: -17.63 eV/f.u.

The following is a DFT calculation (GGA-PBE) of a geometry-optimized LiCr2HgBr structure.

```
data_LiCr2HgBr
_cell_length_a 4.989
_cell_length_b 4.989
_cell_length_c 4.728
_cell_angle_alpha 90.00
_cell_angle_beta 90.00
_cell_angle_gamma 90.00
_symmetry_space_group_name_H-M 'P 1'
_symmetry_Int_Tables_number 1
loop_
_symmetry_equiv_pos_as_xyz
'x,y,z'
loop_
_atom_site_label
_atom_site_type_symbol
_atom_site_fract_x
_atom_site_fract_y
_atom_site_fract_z
Li1 Li 0.000 0.000 0.000
Cr1 Cr 0.000 0.500 0.000
Cr2 Cr 0.500 0.000 0.000
Hg1 Hg 0.000 0.000 0.500
Br1 Br 0.500 0.500 0.500
```

Properties
- Space-group type: P4/mmm, No. 123
- Energy: -19.00 eV/f.u.

The following is a DFT calculation (GGA-PBE) of a geometry-optimized Rb2SbBr7 structure.

```
data_Rb2SbBr7
_cell_length_a 8.257
_cell_length_b 8.257
_cell_length_c 8.257
_cell_angle_alpha 120.17
_cell_angle_beta 120.17
_cell_angle_gamma 89.70
_symmetry_space_group_name_H-M 'P 1'
_symmetry_Int_Tables_number 1
loop_
_symmetry_equiv_pos_as_xyz
'x,y,z'
loop_
_atom_site_label
_atom_site_type_symbol
_atom_site_fract_x
_atom_site_fract_y
_atom_site_fract_z
Rb1 Rb 0.250 0.750 0.500
Rb2 Rb 0.750 0.250 0.500
Sb1 Sb 0.000 0.000 0.000
Br1 Br 0.228 0.228 0.000
Br2 Br 0.229 0.229 0.459
Br3 Br 0.229 0.771 0.000
Br4 Br 0.500 0.500 0.000
Br5 Br 0.771 0.229 0.000
Br6 Br 0.771 0.771 0.541
Br7 Br 0.772 0.772 0.000
```

Properties
- Space-group type: I4/mmm, No. 139
- Energy: -26.98 eV/f.u.

The following is a DFT calculation (GGA-PBE) of a geometry-optimized Sm2Be3CuGe4 structure.

```
data_Sm2Be3CuGe4
_cell_length_a 4.111
_cell_length_b 4.111
_cell_length_c 9.737
_cell_angle_alpha 90.00
_cell_angle_beta 90.00
_cell_angle_gamma 90.00
_symmetry_space_group_name_H-M 'P 1'
_symmetry_Int_Tables_number 1
loop_
_symmetry_equiv_pos_as_xyz
'x,y,z'
loop_
_atom_site_label
_atom_site_type_symbol
_atom_site_fract_x
_atom_site_fract_y
_atom_site_fract_z
Sm1 Sm 0.000 0.500 0.249
Sm2 Sm 0.500 0.000 0.751
Be1 Be 0.000 0.500 0.873
Be2 Be 0.500 0.000 0.127
Be3 Be 0.500 0.500 0.500
Cu1 Cu 0.000 0.000 0.500
Ge1 Ge 0.000 0.000 0.000
Ge2 Ge 0.000 0.500 0.638
Ge3 Ge 0.500 0.000 0.362
Ge4 Ge 0.500 0.500 0.000
```

Properties
- Space-group type: P-4m2, No. 115
- Energy: -47.18 eV/f.u.

The following is a DFT calculation (GGA-PBE) of a geometry-optimized SrCaNCl structure.

```
data_SrCaNCl
_cell_length_a 7.325
_cell_length_b 7.325
_cell_length_c 7.325
_cell_angle_alpha 29.69
_cell_angle_beta 29.69
_cell_angle_gamma 29.69
_symmetry_space_group_name_H-M 'P 1'
_symmetry_Int_Tables_number 1
loop_
_symmetry_equiv_pos_as_xyz
'x,y,z'
loop_
_atom_site_label
_atom_site_type_symbol
_atom_site_fract_x
_atom_site_fract_y
_atom_site_fract_z
Sr1 Sr 0.000 0.000 0.000
Ca1 Ca 0.791 0.791 0.791
N1 N 0.400 0.400 0.400
Cl1 Cl 0.223 0.223 0.223
```

Properties
- Space-group type: R3m, No. 160
- Energy: -19.70 eV/f.u.

The following is a DFT calculation (GGA-PBE) of a geometry-optimized MgBeC structure.

```
data_MgBeC
_cell_length_a 3.212
_cell_length_b 3.212
_cell_length_c 5.356
_cell_angle_alpha 90.00
_cell_angle_beta 90.00
_cell_angle_gamma 90.00
_symmetry_space_group_name_H-M 'P 1'
_symmetry_Int_Tables_number 1
loop_
_symmetry_equiv_pos_as_xyz
'x,y,z'
loop_
_atom_site_label
_atom_site_type_symbol
_atom_site_fract_x
_atom_site_fract_y
_atom_site_fract_z
Mg1 Mg 0.250 0.250 0.153
Mg2 Mg 0.750 0.750 0.847
Be1 Be 0.250 0.750 0.500
Be2 Be 0.750 0.250 0.500
C1 C 0.250 0.250 0.703
C2 C 0.750 0.750 0.297
```

Properties
- Space-group type: P4/nmm, No. 129
- Energy: -14.23 eV/f.u.

The following is a DFT calculation (GGA-PBE) of a geometry-optimized ScH8Ir2Pd structure.

```
data_ScH8Ir2Pd
_cell_length_a 5.043
_cell_length_b 5.043
_cell_length_c 6.213
_cell_angle_alpha 113.51
_cell_angle_beta 113.51
_cell_angle_gamma 45.15
_symmetry_space_group_name_H-M 'P 1'
_symmetry_Int_Tables_number 1
loop_
_symmetry_equiv_pos_as_xyz
'x,y,z'
loop_
_atom_site_label
_atom_site_type_symbol
_atom_site_fract_x
_atom_site_fract_y
_atom_site_fract_z
Sc1 Sc 0.000 0.000 0.000
H1 H 0.101 0.600 0.243
H2 H 0.180 0.180 0.359
H3 H 0.375 0.375 0.973
H4 H 0.400 0.899 0.757
H5 H 0.600 0.101 0.243
H6 H 0.625 0.625 0.027
H7 H 0.820 0.820 0.641
H8 H 0.899 0.400 0.757
Ir1 Ir 0.265 0.265 0.684
Ir2 Ir 0.735 0.735 0.316
Pd1 Pd 0.500 0.500 0.500
```

Properties
- Space-group type: C2/m, No. 12
- Energy: -57.20 eV/f.u.

The following is a DFT calculation (GGA-PBE) of a geometry-optimized DyHS structure.

```
data_DyHS
_cell_length_a 4.569
_cell_length_b 4.569
_cell_length_c 4.569
_cell_angle_alpha 132.72
_cell_angle_beta 132.72
_cell_angle_gamma 69.10
_symmetry_space_group_name_H-M 'P 1'
_symmetry_Int_Tables_number 1
loop_
_symmetry_equiv_pos_as_xyz
'x,y,z'
loop_
_atom_site_label
_atom_site_type_symbol
_atom_site_fract_x
_atom_site_fract_y
_atom_site_fract_z
Dy1 Dy 0.000 0.000 0.000
H1 H 0.288 0.288 0.000
S1 S 0.632 0.632 0.000
```

Properties
- Space-group type: I4mm, No. 107
- Energy: -15.17 eV/f.u.

The following is a DFT calculation (GGA-PBE) of a geometry-optimized Sb3Au2 structure.

```
data_Sb3Au2
_cell_length_a 8.615
_cell_length_b 7.462
_cell_length_c 10.968
_cell_angle_alpha 51.56
_cell_angle_beta 42.72
_cell_angle_gamma 85.72
_symmetry_space_group_name_H-M 'P 1'
_symmetry_Int_Tables_number 1
loop_
_symmetry_equiv_pos_as_xyz
'x,y,z'
loop_
_atom_site_label
_atom_site_type_symbol
_atom_site_fract_x
_atom_site_fract_y
_atom_site_fract_z
Sb1 Sb 0.000 0.000 0.000
Sb2 Sb 0.051 0.727 0.766
Sb3 Sb 0.250 0.250 0.250
Sb4 Sb 0.484 0.795 0.199
Sb5 Sb 0.727 0.051 0.455
Sb6 Sb 0.795 0.484 0.523
Au1 Au 0.331 0.507 0.763
Au2 Au 0.487 0.851 0.919
Au3 Au 0.507 0.331 0.399
Au4 Au 0.851 0.487 0.743
```

Properties
- Space-group type: Fdd2, No. 43
- Energy: -18.90 eV/f.u.

The following is a DFT calculation (GGA-PBE) of a geometry-optimized Cs3P2N4 structure.

```
data_Cs3P2N4
_cell_length_a 7.619
_cell_length_b 7.619
_cell_length_c 7.845
_cell_angle_alpha 93.10
_cell_angle_beta 93.10
_cell_angle_gamma 22.97
_symmetry_space_group_name_H-M 'P 1'
_symmetry_Int_Tables_number 1
loop_
_symmetry_equiv_pos_as_xyz
'x,y,z'
loop_
_atom_site_label
_atom_site_type_symbol
_atom_site_fract_x
_atom_site_fract_y
_atom_site_fract_z
Cs1 Cs 0.000 0.000 0.000
Cs2 Cs 0.374 0.374 0.450
Cs3 Cs 0.626 0.626 0.550
P1 P 0.274 0.274 0.865
P2 P 0.726 0.726 0.135
N1 N 0.179 0.179 0.238
N2 N 0.317 0.317 0.069
N3 N 0.683 0.683 0.931
N4 N 0.821 0.821 0.762
```

Properties
- Space-group type: C2/m, No. 12
- Energy: -43.58 eV/f.u.

The following is a DFT calculation (GGA-PBE) of a geometry-optimized Zr5Si2Sn2 structure.

```
data_Zr5Si2Sn2
_cell_length_a 8.081
_cell_length_b 8.081
_cell_length_c 7.206
_cell_angle_alpha 90.00
_cell_angle_beta 90.00
_cell_angle_gamma 53.74
_symmetry_space_group_name_H-M 'P 1'
_symmetry_Int_Tables_number 1
loop_
_symmetry_equiv_pos_as_xyz
'x,y,z'
loop_
_atom_site_label
_atom_site_type_symbol
_atom_site_fract_x
_atom_site_fract_y
_atom_site_fract_z
Zr1 Zr 0.000 0.000 0.000
Zr2 Zr 0.049 0.706 0.673
Zr3 Zr 0.206 0.549 0.173
Zr4 Zr 0.294 0.951 0.673
Zr5 Zr 0.451 0.794 0.173
Zr6 Zr 0.500 0.500 0.500
Zr7 Zr 0.549 0.206 0.827
Zr8 Zr 0.706 0.049 0.327
Zr9 Zr 0.794 0.451 0.827
Zr10 Zr 0.951 0.294 0.327
Si1 Si 0.123 0.877 0.377
Si2 Si 0.377 0.623 0.877
Si3 Si 0.623 0.377 0.123
Si4 Si 0.877 0.123 0.623
Sn1 Sn 0.215 0.215 0.000
Sn2 Sn 0.285 0.285 0.500
Sn3 Sn 0.715 0.715 0.500
Sn4 Sn 0.785 0.785 0.000
```

Properties
- Space-group type: Cmce, No. 64
- Energy: -68.04 eV/f.u.